Here is an optimized crystal structure of Tm2CoAu from OQMD. Energies are from GGA-PBE.

POSCAR file:
```
Tm2CoAu
1.0
4.350 0.000 0.000
0.000 1.862 5.165
0.000 -1.862 5.165
Tm Co Au
2 1 1
Cartesian
0.000 0.000 0.000
2.175 0.000 2.959
2.175 0.000 5.755
0.000 0.000 7.401
```

Properties
- energy (eV per cell) = -21.361

Here is an optimized crystal structure of NaNi6Ge4 from OQMD. Energies are from GGA-PBE.

POSCAR file:
```
NaNi6Ge4
1.0
2.523 1.457 6.526
-2.523 1.457 6.526
0.000 -2.913 6.526
Na Ni Ge
1 6 4
Cartesian
0.000 0.000 0.000
-1.240 -0.716 8.526
0.000 -1.432 11.052
-1.240 0.716 11.052
1.240 -0.716 8.526
0.000 1.432 8.526
1.240 0.716 11.052
0.000 0.000 2.621
0.000 0.000 6.483
0.000 0.000 13.094
0.000 0.000 16.956
```

Properties
- energy (eV per cell) = -56.035

Here is an optimized crystal structure of Y2BeSi2Au from OQMD. Energies are from GGA-PBE.

POSCAR file:
```
Y2BeSi2Au
1.0
4.089 0.000 0.000
-2.044 3.541 0.000
0.000 0.000 8.140
Y Be Si Au
2 1 2 1
Cartesian
0.000 0.000 1.970
0.000 0.000 6.170
0.000 2.361 0.000
0.000 2.361 4.070
2.044 1.180 0.000
2.044 1.180 4.070
```

Properties
- energy (eV per cell) = -34.812

Here is an optimized crystal structure of AgTeNO from OQMD. Energies are from GGA-PBE.

POSCAR file:
```
AgTeNO
1.0
3.589 0.000 0.000
0.000 3.589 0.000
0.000 0.000 8.279
Ag Te N O
2 2 2 2
Cartesian
0.897 2.691 0.000
2.691 0.897 0.000
0.897 0.897 2.764
2.691 2.691 5.515
0.897 0.897 6.396
2.691 2.691 1.883
0.897 2.691 4.140
2.691 0.897 4.140
```

Properties
- distance to the lowest polymorph of the same formula (meV/atom) = 548.4
- energy (eV per cell) = -32.819

Here is an optimized crystal structure of GdCuSi2Os from OQMD. Energies are from GGA-PBE.

POSCAR file:
```
GdCuSi2Os
1.0
-2.013 2.013 5.051
2.013 -2.013 5.051
2.013 2.013 -5.051
Gd Cu Si Os
1 1 2 1
Cartesian
0.000 0.000 0.000
2.013 0.000 2.525
0.000 0.000 3.837
0.000 0.000 6.265
0.000 2.013 2.525
```

Properties
- energy (eV per cell) = -33.310

Here is an optimized crystal structure of KLuPdSe3 from OQMD. Energies are from GGA-PBE.

POSCAR file:
```
KLuPdSe3
1.0
8.837 0.000 0.000
0.000 4.108 0.000
-3.157 0.000 9.253
K Lu Pd Se
2 2 2 6
Cartesian
1.095 1.027 2.234
4.585 3.081 7.019
0.172 3.081 7.927
5.509 1.027 1.326
-1.048 1.027 5.402
6.729 3.081 3.851
-1.755 1.027 7.904
0.273 3.081 5.039
3.554 3.081 1.442
2.127 1.027 7.812
5.407 1.027 4.214
7.435 3.081 1.350
```

Properties
- energy (eV per cell) = -56.271

Here is an optimized crystal structure of SmHfGe from OQMD. Energies are from GGA-PBE.

POSCAR file:
```
SmHfGe
1.0
0.000 3.477 3.477
3.477 0.000 3.477
3.477 3.477 0.000
Sm Hf Ge
1 1 1
Cartesian
0.000 0.000 0.000
1.739 1.739 1.739
5.216 5.216 5.216
```

Properties
- energy (eV per cell) = -16.965

Here is an optimized crystal structure of ZnFeSiTc from OQMD. Energies are from GGA-PBE.

POSCAR file:
```
ZnFeSiTc
1.0
0.000 2.954 2.954
2.954 0.000 2.954
2.954 2.954 0.000
Zn Fe Si Tc
1 1 1 1
Cartesian
0.000 0.000 0.000
2.954 2.954 2.954
1.477 1.477 1.477
4.431 4.431 4.431
```

Properties
- distance to the lowest polymorph of the same formula (meV/atom) = 241.1
- energy (eV per cell) = -24.747

Here is an optimized crystal structure of InCoMoAu from OQMD. Energies are from GGA-PBE.

POSCAR file:
```
InCoMoAu
1.0
0.000 3.197 3.197
3.197 0.000 3.197
3.197 3.197 0.000
In Co Mo Au
1 1 1 1
Cartesian
0.000 0.000 0.000
1.598 1.598 1.598
3.197 3.197 3.197
4.795 4.795 4.795
```

Properties
- distance to the lowest polymorph of the same formula (meV/atom) = 0.0
- energy (eV per cell) = -22.334

Here is an optimized crystal structure of GdTlZnTe3 from OQMD. Energies are from GGA-PBE.

POSCAR file:
```
GdTlZnTe3
1.0
2.184 -7.785 0.000
2.184 7.785 0.000
0.000 0.000 11.660
Gd Tl Zn Te
2 2 2 6
Cartesian
0.000 0.000 0.000
0.000 0.000 5.830
2.184 3.987 8.745
2.184 -3.987 2.915
2.184 0.552 2.915
2.184 -0.552 8.745
2.184 6.654 2.915
2.184 2.101 0.734
2.184 2.101 5.096
2.184 -2.101 6.564
2.184 -2.101 10.926
2.184 -6.654 8.745
```

Properties
- distance to the lowest polymorph of the same formula (meV/atom) = 0.2
- energy (eV per cell) = -45.534

Here is an optimized crystal structure of NdZn from OQMD. Energies are from GGA-PBE.

POSCAR file:
```
NdZn
1.0
5.594 0.000 0.000
0.000 6.419 0.000
0.000 0.000 5.648
Nd Zn
4 4
Cartesian
0.000 1.133 0.000
0.000 5.286 2.824
2.797 1.137 2.498
2.797 5.282 5.322
0.000 2.298 2.858
0.000 4.121 0.034
2.797 2.299 5.260
2.797 4.120 2.437
```

Properties
- energy (eV per cell) = -24.833

Here is an optimized crystal structure of CsYPu from OQMD. Energies are from GGA-PBE.

POSCAR file:
```
CsYPu
1.0
0.000 3.954 3.954
3.954 0.000 3.954
3.954 3.954 0.000
Cs Y Pu
1 1 1
Cartesian
0.000 0.000 0.000
1.977 1.977 1.977
5.931 5.931 5.931
```

Properties
- distance to the lowest polymorph of the same formula (meV/atom) = 95.4
- energy (eV per cell) = -17.290

Here is an optimized crystal structure of ZnAsOsO from OQMD. Energies are from GGA-PBE.

POSCAR file:
```
ZnAsOsO
1.0
3.888 0.000 0.000
0.000 3.888 0.000
0.000 0.000 9.278
Zn As Os O
2 2 2 2
Cartesian
0.972 0.972 0.501
2.916 2.916 8.777
0.972 0.972 3.092
2.916 2.916 6.186
0.972 2.916 4.639
2.916 0.972 4.639
0.972 2.916 0.000
2.916 0.972 0.000
```

Properties
- distance to the lowest polymorph of the same formula (meV/atom) = 0.0
- energy (eV per cell) = -47.550

Here is an optimized crystal structure of NdGeTe2AuSe from OQMD. Energies are from GGA-PBE.

POSCAR file:
```
NdGeTe2AuSe
1.0
2.093 -7.291 0.000
2.093 7.291 0.000
0.000 0.000 10.715
Nd Ge Te Au Se
2 2 4 2 2
Cartesian
0.000 0.000 0.000
0.000 0.000 5.358
2.093 3.849 8.036
2.093 -3.849 2.679
2.093 2.330 0.747
2.093 2.330 4.611
2.093 -2.330 6.104
2.093 -2.330 9.968
2.093 0.305 2.679
2.093 -0.305 8.036
2.093 5.912 2.679
2.093 -5.912 8.036
```

Properties
- energy (eV per cell) = -52.045

Here is an optimized crystal structure of HfTlAg3S4 from OQMD. Energies are from GGA-PBE.

POSCAR file:
```
HfTlAg3S4
1.0
6.301 0.000 0.000
0.000 7.707 0.000
-3.100 0.000 9.673
Hf Tl Ag S
2 2 6 8
Cartesian
0.183 1.927 2.860
3.019 5.780 6.813
0.910 5.780 1.176
2.292 1.927 8.497
-0.150 4.231 5.126
-0.150 7.329 5.126
-0.312 5.780 7.650
3.514 1.927 2.022
3.352 0.378 4.547
3.352 3.476 4.547
-1.879 0.034 7.019
-1.879 3.819 7.019
1.420 1.927 0.827
1.303 1.927 5.045
1.898 5.780 4.628
1.781 5.780 8.845
5.081 3.887 2.654
5.081 7.672 2.654
```

Properties
- distance to the lowest polymorph of the same formula (meV/atom) = 47.8
- energy (eV per cell) = -85.053

Here is an optimized crystal structure of SmZnPd from OQMD. Energies are from GGA-PBE.

POSCAR file:
```
SmZnPd
1.0
0.000 3.293 3.293
3.293 0.000 3.293
3.293 3.293 0.000
Sm Zn Pd
1 1 1
Cartesian
0.000 0.000 0.000
3.293 3.293 3.293
1.646 1.646 1.646
```

Properties
- energy (eV per cell) = -12.752

Here is an optimized crystal structure of ZrSbAs2 from OQMD. Energies are from GGA-PBE.

POSCAR file:
```
ZrSbAs2
1.0
0.000 3.504 3.504
3.504 0.000 3.504
3.504 3.504 0.000
Zr Sb As
1 1 2
Cartesian
0.000 0.000 0.000
5.255 5.255 5.255
1.752 1.752 1.752
3.504 3.504 3.504
```

Properties
- energy (eV per cell) = -21.618

Here is an optimized crystal structure of TmZn2Pt3 from OQMD. Energies are from GGA-PBE.

POSCAR file:
```
TmZn2Pt3
1.0
4.388 0.000 0.000
-2.194 3.800 0.000
0.000 0.000 12.205
Tm Zn Pt
2 4 6
Cartesian
0.000 0.000 3.051
0.000 0.000 9.154
0.000 2.533 1.015
0.000 2.533 5.087
2.194 1.267 7.118
2.194 1.267 11.190
0.000 0.000 0.000
0.000 0.000 6.103
0.000 2.533 7.714
0.000 2.533 10.594
2.194 1.267 1.612
2.194 1.267 4.491
```

Properties
- energy (eV per cell) = -60.528

Here is an optimized crystal structure of Pr3Tl2AgHgPd2 from OQMD. Energies are from GGA-PBE.

POSCAR file:
```
Pr3Tl2AgHgPd2
1.0
4.014 0.000 0.000
0.000 6.897 3.994
0.000 -6.897 3.994
Pr Tl Ag Hg Pd
3 2 1 1 2
Cartesian
0.000 0.000 0.000
0.000 -2.806 4.975
0.000 2.806 4.975
2.007 -1.809 2.266
2.007 1.809 2.266
0.000 0.000 3.343
2.007 0.000 5.463
2.007 -4.583 3.338
2.007 4.583 3.338
```

Properties
- energy (eV per cell) = -37.588

Here is an optimized crystal structure of LiNdAg3Se4 from OQMD. Energies are from GGA-PBE.

POSCAR file:
```
LiNdAg3Se4
1.0
6.289 0.000 0.000
0.000 6.289 0.000
0.000 0.000 6.289
Li Nd Ag Se
1 1 3 4
Cartesian
0.000 0.000 0.000
3.144 3.144 3.144
0.000 3.144 3.144
3.144 0.000 3.144
3.144 3.144 0.000
1.524 1.524 1.524
1.524 4.765 4.765
4.765 1.524 4.765
4.765 4.765 1.524
```

Properties
- energy (eV per cell) = -34.784